1.
VASP calculation (PBE) on Er2Ga2Cu15 after structural relaxation.

abc: 6.494 6.494 6.494
angles: 82.58 82.58 82.58
Sites, in units of the cell vectors:
Er 0.349 0.349 0.349
Er 0.651 0.651 0.651
Ga 0.104 0.104 0.104
Ga 0.896 0.896 0.896
Cu 0.500 0.000 0.000
Cu 0.000 0.000 0.500
Cu 0.000 0.500 0.000
Cu 0.000 0.697 0.303
Cu 0.697 0.303 0.000
Cu 0.303 0.000 0.697
Cu 0.303 0.697 0.000
Cu 0.697 0.000 0.303
Cu 0.000 0.303 0.697
Cu 0.156 0.651 0.651
Cu 0.651 0.651 0.156
Cu 0.651 0.156 0.651
Cu 0.844 0.349 0.349
Cu 0.349 0.349 0.844
Cu 0.349 0.844 0.349

=====

2.
VASP calculation (PBE) on ErGaCu after structural relaxation.

abc: 3.674 3.674 5.886
angles: 71.82 71.82 60.00
Sites, in units of the cell vectors:
Er 0.334 0.334 0.998
Ga 0.533 0.533 0.402
Cu 0.119 0.119 0.644

=====

3.
VASP calculation (PBE) on ErGa8Cu4 after structural relaxation.

abc: 5.249 6.785 6.785
angles: 81.39 67.24 67.24
Sites, in units of the cell vectors:
Er 0.000 0.000 0.000
Ga 0.000 0.346 0.654
Ga 0.000 0.654 0.346
Ga 0.346 0.654 0.654
Ga 0.654 0.346 0.346
Ga 0.500 0.785 0.215
Ga 0.500 0.215 0.785
Ga 0.285 0.215 0.215
Ga 0.715 0.785 0.785
Cu 0.000 0.000 0.500
Cu 0.500 0.000 0.500
Cu 0.000 0.500 0.000
Cu 0.500 0.500 0.000

=====

4.
VASP calculation (PBE) on ErGa6Cu6 after structural relaxation.

abc: 5.163 6.617 6.617
angles: 80.33 67.03 67.03
Sites, in units of the cell vectors:
Er 0.000 0.000 0.000
Ga 0.347 0.653 0.653
Ga 0.653 0.347 0.347
Ga 0.000 0.346 0.654
Ga 0.000 0.654 0.346
Ga 0.308 0.192 0.192
Ga 0.692 0.808 0.808
Cu 0.000 0.500 0.000
Cu 0.500 0.500 0.000
Cu 0.000 0.000 0.500
Cu 0.500 0.000 0.500
Cu 0.500 0.768 0.232
Cu 0.500 0.232 0.768

=====

5.
VASP calculation (PBE) on Er2Ga3Cu after structural relaxation.

abc: 3.562 4.357 7.536
angles: 90.00 90.00 90.00
Sites, in units of the cell vectors:
Er 0.000 0.500 0.005
Er 0.000 0.000 0.496
Ga 0.500 0.000 0.836
Ga 0.500 0.000 0.175
Ga 0.500 0.500 0.657
Cu 0.500 0.500 0.330

## Properties
Energy relative to the lowest polymorph listed for this composition (eV/atom): 0.0089

=====

6.
VASP calculation (PBE) on Er3Ga3Cu2 after structural relaxation.

abc: 4.297 5.571 14.359
angles: 90.00 90.00 112.68
Sites, in units of the cell vectors:
Er 0.906 0.812 0.392
Er 0.094 0.188 0.892
Er 0.906 0.812 0.108
Er 0.094 0.188 0.608
Er 0.630 0.261 0.250
Er 0.370 0.739 0.750
Ga 0.616 0.232 0.461
Ga 0.384 0.768 0.961
Ga 0.616 0.232 0.039
Ga 0.384 0.768 0.539
Ga 0.339 0.678 0.250
Ga 0.661 0.322 0.750
Cu 0.799 0.597 0.899
Cu 0.201 0.403 0.399
Cu 0.799 0.597 0.601
Cu 0.201 0.403 0.101

=====

7.
VASP calculation (PBE) on Er2Ga5Cu after structural relaxation.

abc: 5.992 5.992 5.992
angles: 88.60 120.81 120.81
Sites, in units of the cell vectors:
Er 0.500 0.271 0.771
Er 0.500 0.771 0.271
Ga 0.474 0.758 0.758
Ga 0.000 0.758 0.283
Ga 0.000 0.283 0.758
Ga 0.526 0.283 0.283
Ga 0.000 0.248 0.248
Cu 0.000 0.850 0.850

=====

8.
VASP calculation (PBE) on Er2GaCu6 after structural relaxation.

abc: 5.559 5.464 5.464
angles: 59.94 89.91 89.91
Sites, in units of the cell vectors:
Er 0.845 0.667 0.667
Er 0.155 0.333 0.333
Ga 0.000 0.000 0.000
Cu 0.338 0.360 0.820
Cu 0.339 0.819 0.819
Cu 0.338 0.820 0.360
Cu 0.662 0.640 0.180
Cu 0.661 0.181 0.181
Cu 0.662 0.180 0.640

=====

Number 1: total energy -79.7 eV per formula unit, formation enthalpy at 0 K -0.1606 eV per atom. Number 2: total energy -12.0 eV per formula unit, formation enthalpy at 0 K -0.0952 eV per atom. Number 3: total energy -47.9 eV per formula unit, formation enthalpy at 0 K -0.2072 eV per atom. Number 4: total energy -51.0 eV per formula unit, formation enthalpy at 0 K -0.2883 eV per atom. Number 5: total energy -25.8 eV per formula unit, formation enthalpy at 0 K -0.5856 eV per atom. Number 6: total energy -35.3 eV per formula unit, formation enthalpy at 0 K -0.5423 eV per atom. Number 7: total energy -32.0 eV per formula unit, formation enthalpy at 0 K -0.4542 eV per atom. Number 8: total energy -39.0 eV per formula unit, formation enthalpy at 0 K -0.2564 eV per atom.